CeDyGeIr: relaxed, GGA-PBE.

abc: 4.3359 4.1163 10.1879
angles: 90.00 90.00 90.00
Last column: nearest neighbours and their distance in Å.
Space group Amm2 (No. 38)
Asymmetric unit:
Ce (0.0000, 0.0000, 0.0000)  3 Ir 2.77-3.10, 4 Ge 3.08
Dy (0.5000, 0.0000, 0.7171)  3 Ge 2.94-2.98, 4 Ir 3.04
Ge (0.5000, 0.0000, 0.4290)  2 Ir 2.69, 3 Dy 2.94-2.98
Ir (0.0000, 0.0000, 0.2721)  2 Ge 2.69, 1 Ce 2.77

Output
- E_tot (eV/atom) = -6.810
- calculated formation energy (eV per atom) = -0.81
- theoretical density (g/cm3) = 10.4



LaHoP2: relaxed, GGA-PBE.

abc: 4.1335 4.1335 20.2269
angles: 90.00 90.00 120.00
Last column: nearest neighbours and their distance in Å.
Space group R-3m (No. 166, hexagonal axes)
Asymmetric unit:
La (0.0000, 0.0000, 0.0000)  6 P 2.98
Ho (0.0000, 0.0000, 0.5000)  6 P 2.86
P (0.0000, 0.0000, 0.2450)  3 Ho 2.86, 3 La 2.98

Output
- E_tot (eV/atom) = -6.660
- excess energy over the best structure of this formula in the dataset (meV/atom) = 0.0
- calculated formation energy (eV per atom) = -1.58
- theoretical density (g/cm3) = 6.1



NbSnTe2: relaxed, GGA-PBE.

abc: 3.6003 3.6003 30.4754
angles: 90.00 90.00 120.00
Last column: nearest neighbours and their distance in Å.
Space group R-3m (No. 166, hexagonal axes)
Asymmetric unit:
Nb (0.0000, 0.0000, 0.0000)  6 Te 2.80
Sn (0.0000, 0.0000, 0.5000)  2 Te 3.20
Te (0.0000, 0.0000, 0.3950)  3 Nb 2.80

Output
- E_tot (eV/atom) = -5.338
- formation energy (no corrections) (meV per atom) = -249.2
- theoretical density (g/cm3) = 6.8